## Ta5Mn4Re (PBE)

Data for an optimized crystal structure of Ta5Mn4Re.

Unit cell a=3.0956 b=3.0956 c=15.4665 alpha=90.00 beta=90.00 gamma=90.00
Atoms (fractional coordinates):
Ta1 0.5000 0.5000 0.1060
Ta2 0.5000 0.5000 0.3034
Ta3 0.5000 0.5000 0.5000
Ta4 0.5000 0.5000 0.6966
Ta5 0.5000 0.5000 0.8940
Mn1 0.0000 0.0000 0.2046
Mn2 0.0000 0.0000 0.4015
Mn3 0.0000 0.0000 0.5985
Mn4 0.0000 0.0000 0.7954
Re1 0.0000 0.0000 0.0000

Computed properties:
* crystal system: tetragonal
* magnetic moment: 0.0000 μB/atom
* DFT formation energy: -0.27 eV/atom
* E_tot: -11.11 eV per atom

***

## DyZnPb (PBE)

Data for an optimized crystal structure of DyZnPb.

Unit cell a=4.4649 b=4.4649 c=9.4845 alpha=76.39 beta=76.39 gamma=60.00
Atoms (fractional coordinates):
Pb1 0.3030 0.3030 0.0909
Pb2 0.6970 0.6970 0.9091
Zn1 0.1639 0.1639 0.5082
Zn2 0.8361 0.8361 0.4918
Dy1 0.4368 0.4368 0.6895
Dy2 0.5632 0.5632 0.3105

Computed properties:
* crystal system: trigonal
* magnetic moment: 0.0000 μB/atom
* DFT formation energy: -0.25 eV/atom
* E_tot: -3.44 eV per atom

***

## EuLuScIn (PBE)

Data for an optimized crystal structure of EuLuScIn.

Unit cell a=5.3398 b=5.3398 c=5.3398 alpha=60.00 beta=60.00 gamma=60.00
Atoms (fractional coordinates):
Eu1 0.7500 0.7500 0.7500
Sc1 0.0000 0.0000 0.0000
Lu1 0.5000 0.5000 0.5000
In1 0.2500 0.2500 0.2500

Computed properties:
* crystal system: cubic
* magnetic moment: 1.9430 μB/atom
* DFT formation energy: -0.07 eV/atom
* E_tot: -6.03 eV per atom

***

## LiCr2Ni (PBE)

Data for an optimized crystal structure of LiCr2Ni.

Unit cell a=4.0129 b=4.0129 c=4.0129 alpha=60.00 beta=60.00 gamma=60.00
Atoms (fractional coordinates):
Ni1 0.5000 0.5000 0.5000
Li1 0.0000 0.0000 0.0000
Cr1 0.2500 0.2500 0.2500
Cr2 0.7500 0.7500 0.7500

Computed properties:
* crystal system: cubic
* magnetic moment: 0.0004 μB/atom
* DFT formation energy: 0.63 eV/atom
* E_tot: -6.11 eV per atom
* energy above the lowest structure with this stoichiometry: 0.461 eV per atom

***

## Sc8MnGa2 (PBE)

Data for an optimized crystal structure of Sc8MnGa2.

Unit cell a=4.9951 b=6.3251 c=8.2490 alpha=112.54 beta=107.62 gamma=90.00
Atoms (fractional coordinates):
Sc1 0.6255 0.8641 0.2510
Sc2 0.3745 0.6132 0.7490
Sc3 0.1921 0.1921 0.3841
Sc4 0.0000 0.2444 0.0000
Sc5 0.8079 0.8079 0.6159
Sc6 0.6255 0.3868 0.2510
Sc7 0.3745 0.1359 0.7490
Sc8 0.0000 0.7556 0.0000
Mn1 0.5000 0.0000 0.0000
Ga1 0.1850 0.6850 0.3699
Ga2 0.8150 0.3150 0.6301

Computed properties:
* crystal system: orthorhombic
* magnetic moment: 0.0006 μB/atom
* DFT formation energy: -0.23 eV/atom
* E_tot: -6.22 eV per atom

***

## UAl7GaFe4 (PBE)

Data for an optimized crystal structure of UAl7GaFe4.

Unit cell a=6.6792 b=6.6792 c=6.6792 alpha=135.12 beta=98.44 gamma=98.31
Atoms (fractional coordinates):
U1 0.9991 0.0000 0.9991
Al1 0.0004 0.4977 0.0016
Al2 0.0004 0.9988 0.5028
Al3 0.5040 0.5023 0.5028
Al4 0.5040 0.0012 0.0016
Al5 0.6477 0.6460 0.0017
Al6 0.3556 0.3540 0.0017
Al7 0.6407 0.0000 0.6407
Ga1 0.3527 0.0000 0.3527
Fe1 0.1868 0.6837 0.5030
Fe2 0.8193 0.3163 0.5030
Fe3 0.2198 0.5000 0.7198
Fe4 0.7696 0.5000 0.2696

Computed properties:
* crystal system: orthorhombic
* magnetic moment: 0.3898 μB/atom
* DFT formation energy: -0.17 eV/atom
* E_tot: -5.90 eV per atom

***

## LaCoPN (PBE)

Data for an optimized crystal structure of LaCoPN.

Unit cell a=3.7977 b=3.7255 c=4.9383 alpha=112.19 beta=90.00 gamma=90.00
Atoms (fractional coordinates):
La1 0.5000 0.5139 0.4087
Co1 0.0000 0.2137 0.8088
P1 0.0000 0.8276 0.0361
N1 0.0000 0.0137 0.4075

Computed properties:
* crystal system: orthorhombic
* formation energy from raw total energies: -19.99 kcal/mol of atoms
* magnetic moment: 0.0000 μB/atom
* E_tot: -7.31 eV per atom

***

## Cd2CuHg (PBE)

Data for an optimized crystal structure of Cd2CuHg.

Unit cell a=4.2495 b=4.2495 c=4.3555 alpha=90.00 beta=90.00 gamma=90.00
Atoms (fractional coordinates):
Cd1 0.0000 0.0000 0.0000
Cd2 0.5000 0.5000 0.0000
Cu1 0.5000 0.0000 0.5000
Hg1 0.0000 0.5000 0.5000

Computed properties:
* crystal system: tetragonal
* magnetic moment: 0.0000 μB/atom
* DFT formation energy: 0.13 eV/atom
* E_tot: -1.42 eV per atom

***

## Er5Sc5Tl2 (PBE)

Data for an optimized crystal structure of Er5Sc5Tl2.

Unit cell a=5.2046 b=5.1998 c=14.2686 alpha=100.53 beta=90.00 gamma=120.03
Atoms (fractional coordinates):
Er1 0.5000 0.0000 0.5000
Er2 0.6888 0.3775 0.0668
Er3 0.7751 0.5501 0.3274
Er4 0.2249 0.4499 0.6726
Er5 0.3113 0.6225 0.9332
Sc1 0.1464 0.2927 0.4403
Sc2 0.6076 0.2151 0.8204
Sc3 0.3924 0.7849 0.1796
Sc4 0.8536 0.7073 0.5597
Sc5 0.0000 0.0000 0.0000
Tl1 0.9278 0.8557 0.7806
Tl2 0.0722 0.1443 0.2194

Computed properties:
* crystal system: monoclinic
* magnetic moment: 0.0000 μB/atom
* DFT formation energy: -0.01 eV/atom
* E_tot: -4.94 eV per atom

***

## BaMgSn2Hg6 (PBE)

Data for an optimized crystal structure of BaMgSn2Hg6.

Unit cell a=8.7039 b=8.7039 c=9.8765 alpha=103.04 beta=103.04 gamma=119.67
Atoms (fractional coordinates):
Ba1 0.1123 0.8877 0.2500
Ba2 0.8877 0.1123 0.7500
Mg1 0.5610 0.4390 0.2500
Mg2 0.4390 0.5610 0.7500
Sn1 0.3187 0.1398 0.6805
Sn2 0.8602 0.6813 0.8195
Sn3 0.6813 0.8602 0.3195
Sn4 0.1398 0.3187 0.1805
Hg1 0.9239 0.4537 0.2887
Hg2 0.5463 0.0761 0.2113
Hg3 0.0761 0.5463 0.7113
Hg4 0.4537 0.9239 0.7887
Hg5 0.2520 0.0704 0.9717
Hg6 0.9296 0.7480 0.5283
Hg7 0.7480 0.9296 0.0283
Hg8 0.0704 0.2520 0.4717
Hg9 0.4487 0.6667 0.4891
Hg10 0.3333 0.5513 0.0109
Hg11 0.5513 0.3333 0.5109
Hg12 0.6667 0.4487 0.9891

Computed properties:
* crystal system: monoclinic
* magnetic moment: 0.0000 μB/atom
* DFT formation energy: -0.18 eV/atom
* E_tot: -1.51 eV per atom

***

## SrY3Cl (PBE)

Data for an optimized crystal structure of SrY3Cl.

Unit cell a=5.9076 b=5.9076 c=5.9076 alpha=90.00 beta=90.00 gamma=90.00
Atoms (fractional coordinates):
Y1 0.0000 0.5000 0.0000
Y2 0.0000 0.0000 0.5000
Y3 0.5000 0.0000 0.0000
Sr1 0.0000 0.0000 0.0000
Cl1 0.5000 0.5000 0.5000

Computed properties:
* crystal system: cubic
* formation energy from raw total energies: 24.55 kcal/mol of atoms
* magnetic moment: 0.0000 μB/atom
* E_tot: -3.52 eV per atom
* energy above the lowest structure with this stoichiometry: 1.420 eV per atom

***

## LiZn3Ni (PBE)

Data for an optimized crystal structure of LiZn3Ni.

Unit cell a=4.2447 b=4.2447 c=4.2447 alpha=90.00 beta=90.00 gamma=90.00
Atoms (fractional coordinates):
Ni1 0.5000 0.5000 0.5000
Zn1 0.0000 0.5000 0.0000
Zn2 0.0000 0.0000 0.5000
Zn3 0.5000 0.0000 0.0000
Li1 0.0000 0.0000 0.0000

Computed properties:
* crystal system: cubic
* magnetic moment: 0.0002 μB/atom
* DFT formation energy: 0.65 eV/atom
* E_tot: -1.65 eV per atom
* energy above the lowest structure with this stoichiometry: 0.860 eV per atom

***

> What is the magnetic moment in the sixth record?

0.3898 μB/atom

***

> Number 7 is which compound?

LaCoPN

***

> Among the records above, which one has the highest magnetic moment?

EuLuScIn

***

> magnetic moment of number 5 (Sc8MnGa2)?

0.0006 μB/atom